(1)
Zr2BeZnCu6 | PBE-GGA | optimized geometry

Calculated values
Electronic total energy: -45.9 eV for the cell shown
Total magnetic moment: 0.00 μB/cell

abc: 5.8543 5.8567 6.0342
angles: 90.03 118.91 119.87
Space group P-1 (No. 2)
Unique sites:
Zr: 0.1113 0.3055 0.4162
Be: 0.5000 0.5000 0.0000
Zn: 0.5000 0.0000 0.5000
Cu: 0.0208 0.1715 0.8677
Cu: 0.3017 0.6500 0.1310
Cu: 0.4786 0.1503 0.1295

---

(2)
Dy8AlCo2 | PBE-GGA | optimized geometry

Calculated values
Electronic total energy: -111.5 eV for the cell shown
Total magnetic moment: 0.00 μB/cell

abc: 8.6263 13.0518 5.2450
angles: 90.00 103.51 90.00
Space group C2/m (No. 12)
Unique sites:
Dy: 0.0000 0.2485 0.0000
Dy: 0.1174 0.5000 0.8045
Dy: 0.1967 0.1299 0.5717
Al: 0.0000 0.0000 0.0000
Co: 0.0000 0.3083 0.5000

---

(3)
BaH5Rh | PBE-GGA | optimized geometry

Calculated values
Electronic total energy: -56.4 eV for the cell shown
Total magnetic moment: 0.00 μB/cell

abc: 3.5997 5.9398 7.4093
angles: 90.00 90.00 90.00
Space group Immm (No. 71)
Unique sites:
Ba: 0.0000 0.0000 0.0000
H: 0.0000 0.2016 0.3442
H: 0.0000 0.5000 0.0000
Rh: 0.0000 0.0000 0.5000